(1)
## Ta4SbPt (PBE)

Data for a geometry-optimized Ta4SbPt structure.

Results
Calculated total energy   -55.7 eV for the cell shown
Energy relative to the elements, uncorrected   0.3159 eV per atom
Space-group type   F-43m (216)
ρ   14.93 g/cm3
Size of the total moment   0.0 μB per formula unit

Lattice parameters (Å, degrees): 5.4699 5.4699 5.4699 60.00 60.00 60.00
Last column: nearest neighbours and their distance in Å.
Fractional coordinates of all 6 atoms:
Ta1 0.3758 0.3758 0.3758  6 Ta 2.72-2.75
Ta2 0.3758 0.3758 0.8726  6 Ta 2.72-2.75
Ta3 0.3758 0.8726 0.3758  6 Ta 2.72-2.75
Ta4 0.8726 0.3758 0.3758  6 Ta 2.72-2.75
Sb1 0.7500 0.7500 0.7500  12 Ta 3.21, 4 Pt 3.35
Pt1 0.0000 0.0000 0.0000  12 Ta 3.21, 4 Sb 3.35

***

(2)
## CdPPbO2 (PBE)

Data for a geometry-optimized CdPPbO2 structure.

Results
Calculated total energy   -19.0 eV for the cell shown
Energy relative to the elements, uncorrected   0.1821 eV per atom
Space-group type   P4/mmm (123)
ρ   6.93 g/cm3
Size of the total moment   0.7 μB per formula unit
Excess energy over the best structure of this formula in the dataset   134 kJ/mol of formula units

Lattice parameters (Å, degrees): 4.2150 4.2150 5.1603 90.00 90.00 90.00
Last column: nearest neighbours and their distance in Å.
Fractional coordinates of all 5 atoms:
Cd1 0.0000 0.0000 0.0000  4 O 2.11
P1 0.0000 0.0000 0.5000  2 Cd 2.58
Pb1 0.5000 0.5000 0.5000  4 P 2.98, 8 O 3.33
O1 0.0000 0.5000 0.0000  2 Cd 2.11
O2 0.5000 0.0000 0.0000  2 Cd 2.11

***

(3)
## KAgBrF (PBE)

Data for a geometry-optimized KAgBrF structure.

Results
Calculated total energy   -27.0 eV for the cell shown
Energy relative to the elements, uncorrected   -1.4961 eV per atom
Space-group type   P6_3mc (186)
ρ   3.74 g/cm3
Size of the total moment   0.0 μB per formula unit

Lattice parameters (Å, degrees): 4.4064 4.4064 12.9770 90.00 90.00 120.00
Last column: nearest neighbours and their distance in Å.
Fractional coordinates of all 8 atoms:
K1 0.3333 0.6667 0.0000  3 F 2.62
K2 0.6667 0.3333 0.5000  3 F 2.62
Ag1 0.0000 0.0000 0.2725  1 F 2.31
Ag2 0.0000 0.0000 0.7725  1 F 2.31
Br1 0.3333 0.6667 0.6993  3 Ag 2.72
Br2 0.6667 0.3333 0.1993  3 Ag 2.72
F1 0.0000 0.0000 0.4506  1 Ag 2.31
F2 0.0000 0.0000 0.9506  1 Ag 2.31